{"formula": "PbW", "functional": "PBE-GGA", "state": "optimized geometry", "lattice_angstrom": [[0.0000, 4.4093, 7.5008], [2.6935, 0.0000, 7.5008], [2.6935, 4.4093, 0.0000]], "species": ["Pb", "Pb", "Pb", "Pb", "W", "W", "W", "W"], "fractional_positions": [[0.0423, 0.7077, 0.0423], [0.2923, 0.9577, 0.2923], [0.7077, 0.0423, 0.7077], [0.9577, 0.2923, 0.9577], [0.2905, 0.2905, 0.4595], [0.4595, 0.4595, 0.2905], [0.5405, 0.5405, 0.7095], [0.7095, 0.7095, 0.5405]], "rho_g_cm3": 14.6, "ef_ev_per_atom": 1.150, "dos_at_fermi_per_ev_cell": 4.66, "relative_energy_mev_per_atom": 656}

=====

{"formula": "La2Pr5Sn5", "functional": "PBE-GGA", "state": "optimized geometry", "lattice_angstrom": [[7.4802, -2.2674, 0.0000], [7.4802, 2.2674, 0.0000], [-3.8832, 0.0000, 12.7875]], "species": ["La", "La", "Pr", "Pr", "Pr", "Pr", "Pr", "Sn", "Sn", "Sn", "Sn", "Sn"], "fractional_positions": [[0.0472, 0.0472, 0.2821], [0.9528, 0.9528, 0.7179], [0.2673, 0.2673, 0.1505], [0.3417, 0.3417, 0.4570], [0.5000, 0.5000, 0.0000], [0.6583, 0.6583, 0.5430], [0.7327, 0.7327, 0.8495], [0.0000, 0.0000, 0.5000], [0.1184, 0.1184, 0.9295], [0.2945, 0.2945, 0.6985], [0.7055, 0.7055, 0.3015], [0.8816, 0.8816, 0.0705]], "rho_g_cm3": 6.0, "ef_ev_per_atom": -0.556, "dos_at_fermi_per_ev_cell": 7.61}

=====

{"formula": "SrSeCl2", "functional": "PBE-GGA", "state": "optimized geometry", "lattice_angstrom": [[7.4910, 0.0000, 0.0000], [0.0000, 7.4910, 0.0000], [0.0000, 0.0000, 7.4910]], "species": ["Sr", "Sr", "Sr", "Sr", "Se", "Se", "Se", "Se", "Cl", "Cl", "Cl", "Cl", "Cl", "Cl", "Cl", "Cl"], "fractional_positions": [[0.0000, 0.0000, 0.0000], [0.0000, 0.5000, 0.5000], [0.5000, 0.0000, 0.5000], [0.5000, 0.5000, 0.0000], [0.2500, 0.2500, 0.7500], [0.2500, 0.7500, 0.2500], [0.7500, 0.2500, 0.2500], [0.7500, 0.7500, 0.7500], [0.0000, 0.0000, 0.5000], [0.0000, 0.5000, 0.0000], [0.2500, 0.2500, 0.2500], [0.2500, 0.7500, 0.7500], [0.5000, 0.0000, 0.0000], [0.5000, 0.5000, 0.5000], [0.7500, 0.2500, 0.7500], [0.7500, 0.7500, 0.2500]], "rho_g_cm3": 3.8, "dos_at_fermi_per_ev_cell": 11.58, "relative_energy_mev_per_atom": 490}

=====

{"formula": "Zn5P", "functional": "PBE-GGA", "state": "optimized geometry", "lattice_angstrom": [[11.2041, 0.0000, 0.0000], [0.0000, 2.6996, 0.0000], [-5.3889, 0.0000, 6.3488]], "species": ["Zn", "Zn", "Zn", "Zn", "Zn", "Zn", "Zn", "Zn", "Zn", "Zn", "P", "P"], "fractional_positions": [[0.0000, 0.0000, 0.0000], [0.0492, 0.5000, 0.3099], [0.1367, 0.5000, 0.8512], [0.2325, 0.0000, 0.6805], [0.3752, 0.5000, 0.5675], [0.5000, 0.5000, 0.0000], [0.5492, 0.0000, 0.3099], [0.6367, 0.0000, 0.8512], [0.7325, 0.5000, 0.6805], [0.8752, 0.0000, 0.5675], [0.3236, 0.5000, 0.2371], [0.8236, 0.0000, 0.2371]], "rho_g_cm3": 6.2, "ef_ev_per_atom": 0.059, "dos_at_fermi_per_ev_cell": 2.73, "relative_energy_mev_per_atom": 0}

=====

{"formula": "KTa2Se", "functional": "PBE-GGA", "state": "optimized geometry", "lattice_angstrom": [[3.1224, 0.0000, 0.0000], [-1.5612, 2.7041, 0.0000], [0.0000, 0.0000, 31.5310]], "species": ["K", "K", "K", "Ta", "Ta", "Ta", "Ta", "Ta", "Ta", "Se", "Se", "Se"], "fractional_positions": [[0.0000, 0.0000, 0.0000], [0.3333, 0.6667, 0.6667], [0.6667, 0.3333, 0.3333], [0.0000, 0.0000, 0.2300], [0.0000, 0.0000, 0.7700], [0.3333, 0.6667, 0.4367], [0.3333, 0.6667, 0.8967], [0.6667, 0.3333, 0.1033], [0.6667, 0.3333, 0.5633], [0.0000, 0.0000, 0.5000], [0.3333, 0.6667, 0.1667], [0.6667, 0.3333, 0.8333]], "rho_g_cm3": 9.0, "final_energy_ev_per_atom": -6.45, "dos_at_fermi_per_ev_cell": 11.16}

=====

{"formula": "SrCoOsPt2", "functional": "PBE-GGA", "state": "optimized geometry", "lattice_angstrom": [[5.0866, 0.0000, 0.0000], [0.0000, 5.0866, 0.0000], [0.0000, 0.0000, 4.4389]], "species": ["Sr", "Co", "Os", "Pt", "Pt"], "fractional_positions": [[0.0000, 0.0000, 0.0000], [0.0000, 0.0000, 0.5000], [0.5000, 0.5000, 0.5000], [0.0000, 0.5000, 0.0000], [0.5000, 0.0000, 0.0000]], "rho_g_cm3": 10.5, "ef_ev_per_atom": 2.532, "dos_at_fermi_per_ev_cell": 10.22}

=====

{"formula": "Cs2ScCdPb", "functional": "PBE-GGA", "state": "optimized geometry", "lattice_angstrom": [[6.7439, 0.0000, 0.0000], [0.0000, 6.7439, 0.0000], [0.0000, 0.0000, 5.7931]], "species": ["Cs", "Cs", "Sc", "Cd", "Pb"], "fractional_positions": [[0.0000, 0.5000, 0.0000], [0.5000, 0.0000, 0.0000], [0.0000, 0.0000, 0.5000], [0.0000, 0.0000, 0.0000], [0.5000, 0.5000, 0.5000]], "rho_g_cm3": 4.0, "ef_ev_per_atom": 0.606, "dos_at_fermi_per_ev_cell": 9.29}

=====

{"formula": "AcThTe2", "functional": "PBE-GGA", "state": "optimized geometry", "lattice_angstrom": [[4.3664, 0.0000, 0.0000], [-2.1832, 3.7814, 0.0000], [0.0000, 0.0000, 30.9791]], "species": ["Ac", "Ac", "Ac", "Th", "Th", "Th", "Te", "Te", "Te", "Te", "Te", "Te"], "fractional_positions": [[0.0000, 0.0000, 0.0000], [0.3333, 0.6667, 0.6667], [0.6667, 0.3333, 0.3333], [0.0000, 0.0000, 0.5000], [0.3333, 0.6667, 0.1667], [0.6667, 0.3333, 0.8333], [0.0000, 0.0000, 0.4018], [0.0000, 0.0000, 0.5982], [0.3333, 0.6667, 0.0685], [0.3333, 0.6667, 0.2649], [0.6667, 0.3333, 0.7351], [0.6667, 0.3333, 0.9315]], "rho_g_cm3": 7.0, "dos_at_fermi_per_ev_cell": 11.69, "relative_energy_mev_per_atom": 560}